This record from the Alexandria database describes a relaxed Ca2Hg3Pd crystal. The functional is PBE-GGA.

## Properties
Energy above the lowest structure with this stoichiometry, kcal/mol of atoms: 0.00
Crystal system: orthorhombic
DFT total energy, eV/cell: -13.10
Calculated formation energy, eV/f.u.: -3.0

a b c (Å): 3.6407 4.7944 8.6384
angles (deg): 90.00 90.00 90.00
Atoms (fractional coordinates):
Ca1 0.0000 0.0000 0.0000
Ca2 0.0000 0.5000 0.4473
Hg1 0.5000 0.0000 0.6218
Hg2 0.5000 0.5000 0.1426
Hg3 0.5000 0.5000 0.8060
Pd1 0.5000 0.0000 0.3021